Entry 1:
# PaCdSe2

An optimized crystal structure of PaCdSe2 (PBE, Alexandria).

Computed properties:
- Energy relative to the lowest polymorph listed for this composition: 0 meV/atom
- E_tot: -20.909 eV/cell
- E_form (uncorrected): -3.5 eV/f.u.
- Mass density: 8.95 g cm⁻³

Geometry as CIF:
```
data_PaCdSe2
_symmetry_space_group_name_H-M 'P 4/m m m'
_symmetry_Int_Tables_number 123
_symmetry_space_group_name_Hall '-P 4 2'
_cell_length_a 3.628
_cell_length_b 3.628
_cell_length_c 7.066
_cell_angle_alpha 90.00
_cell_angle_beta 90.00
_cell_angle_gamma 90.00
loop_
_atom_site_label
_atom_site_type_symbol
_atom_site_fract_x
_atom_site_fract_y
_atom_site_fract_z
_atom_site_occupancy
Pa1 Pa 0.000 0.000 0.000 1
Cd1 Cd 0.000 0.000 0.500 1
Se1 Se 0.500 0.500 0.220 1
```



Entry 2:
# BaLaPb2

An optimized crystal structure of BaLaPb2 (PBE, Alexandria).

Computed properties:
- E_tot: -15.595 eV/cell
- Mass density: 7.38 g cm⁻³

Geometry as CIF:
```
data_BaLaPb2
_symmetry_space_group_name_H-M 'P m m 2'
_symmetry_Int_Tables_number 25
_cell_length_a 3.892
_cell_length_b 5.793
_cell_length_c 6.896
_cell_angle_alpha 90.00
_cell_angle_beta 90.00
_cell_angle_gamma 90.00
loop_
_symmetry_equiv_pos_as_xyz
'x,y,z'
'-x,-y,z'
'-x,y,z'
'x,-y,z'
loop_
_atom_site_label
_atom_site_type_symbol
_atom_site_fract_x
_atom_site_fract_y
_atom_site_fract_z
_atom_site_occupancy
Ba1 Ba 0.000 0.000 0.000 1
La1 La 0.500 0.500 0.503 1
Pb1 Pb 0.000 0.000 0.500 1
Pb2 Pb 0.500 0.500 0.004 1
```



Entry 3:
# Ba4GaAu

An optimized crystal structure of Ba4GaAu (PBE, Alexandria).

Computed properties:
- Energy relative to the lowest polymorph listed for this composition: 24 meV/atom
- E_tot: -64.176 eV/cell
- Mass density: 5.09 g cm⁻³

Geometry as CIF:
```
data_Ba4GaAu
_symmetry_space_group_name_H-M 'C 1 2/c 1'
_symmetry_Int_Tables_number 15
_cell_length_a 10.776
_cell_length_b 15.550
_cell_length_c 7.877
_cell_angle_alpha 90.00
_cell_angle_beta 126.15
_cell_angle_gamma 90.00
loop_
_symmetry_equiv_pos_as_xyz
'x,y,z'
'-x,-y,-z'
'-x,y,-z+1/2'
'x,-y,z+1/2'
'x+1/2,y+1/2,z'
'-x+1/2,-y+1/2,-z'
'-x+1/2,y+1/2,-z+1/2'
'x+1/2,-y+1/2,z+1/2'
loop_
_atom_site_label
_atom_site_type_symbol
_atom_site_fract_x
_atom_site_fract_y
_atom_site_fract_z
_atom_site_occupancy
Ba1 Ba 0.126 0.182 0.094 1
Ba2 Ba 0.197 0.446 0.262 1
Ga1 Ga 0.000 0.365 0.750 1
Au1 Au 0.000 0.001 0.250 1
```



Entry 4:
# PmSmEu

An optimized crystal structure of PmSmEu (PBE, Alexandria).

Computed properties:
- Energy relative to the lowest polymorph listed for this composition: 3 meV/atom
- E_tot: -19.634 eV/cell
- Mass density: 6.87 g cm⁻³

Geometry as CIF:
```
data_PmSmEu
_symmetry_space_group_name_H-M 'P 3 m 1'
_symmetry_Int_Tables_number 156
_cell_length_a 3.7031
_cell_length_b 3.7031
_cell_length_c 9.1025
_cell_angle_alpha 90.00
_cell_angle_beta 90.00
_cell_angle_gamma 120.00
loop_
_symmetry_equiv_pos_as_xyz
'x,y,z'
'-y,x-y,z'
'-x+y,-x,z'
'-y,-x,z'
'-x+y,y,z'
'x,x-y,z'
loop_
_atom_site_label
_atom_site_type_symbol
_atom_site_fract_x
_atom_site_fract_y
_atom_site_fract_z
_atom_site_occupancy
Pm1 Pm 0.0000 0.0000 0.0000 1
Sm1 Sm 0.6667 0.3333 0.3135 1
Eu1 Eu 0.3333 0.6667 0.6557 1
```



Entry 5:
# AsPb3

An optimized crystal structure of AsPb3 (PBE, Alexandria).

Computed properties:
- Energy relative to the lowest polymorph listed for this composition: 64 meV/atom
- E_tot: -30.730 eV/cell
- Mass density: 10.11 g cm⁻³

Geometry as CIF:
```
data_AsPb3
_symmetry_space_group_name_H-M 'P m m n'
_symmetry_Int_Tables_number 59
_cell_length_a 5.693
_cell_length_b 6.683
_cell_length_c 6.015
_cell_angle_alpha 90.00
_cell_angle_beta 90.00
_cell_angle_gamma 90.00
loop_
_symmetry_equiv_pos_as_xyz
'x,y,z'
'-x,-y,-z'
'-x+1/2,-y+1/2,z'
'x+1/2,y+1/2,-z'
'x+1/2,-y,-z'
'-x+1/2,y,z'
'-x,y+1/2,-z'
'x,-y+1/2,z'
loop_
_atom_site_label
_atom_site_type_symbol
_atom_site_fract_x
_atom_site_fract_y
_atom_site_fract_z
_atom_site_occupancy
As1 As 0.250 0.250 0.124 1
Pb1 Pb 0.250 0.003 0.660 1
Pb2 Pb 0.250 0.750 0.142 1
```



Entry 6:
# ZnCoS2

An optimized crystal structure of ZnCoS2 (PBE, Alexandria).

Computed properties:
- E_tot: -52.917 eV/cell
- E_form (uncorrected): -1.0 eV/f.u.
- Mass density: 4.63 g cm⁻³

Geometry as CIF:
```
data_ZnCoS2
_symmetry_space_group_name_H-M 'R -3 m'
_symmetry_Int_Tables_number 166
_symmetry_space_group_name_Hall '-R 3 2"'
_cell_length_a 3.3837
_cell_length_b 3.3837
_cell_length_c 20.4730
_cell_angle_alpha 90.00
_cell_angle_beta 90.00
_cell_angle_gamma 120.00
loop_
_atom_site_label
_atom_site_type_symbol
_atom_site_fract_x
_atom_site_fract_y
_atom_site_fract_z
_atom_site_occupancy
Zn1 Zn 0.0000 0.0000 0.0000 1
Co1 Co 0.0000 0.0000 0.5000 1
S1 S 0.0000 0.0000 0.1113 1
```



Entry 7:
# K2Tl2Cl7

An optimized crystal structure of K2Tl2Cl7 (PBE, Alexandria).

Computed properties:
- E_tot: -64.737 eV/cell
- E_form (uncorrected): -12.5 eV/f.u.
- Mass density: 2.76 g cm⁻³

Geometry as CIF:
```
data_K2Tl2Cl7
_symmetry_space_group_name_H-M 'C 1 2/m 1'
_symmetry_Int_Tables_number 12
_cell_length_a 10.240
_cell_length_b 12.780
_cell_length_c 6.880
_cell_angle_alpha 90.00
_cell_angle_beta 101.19
_cell_angle_gamma 90.00
loop_
_symmetry_equiv_pos_as_xyz
'x,y,z'
'-x,-y,-z'
'-x,y,-z'
'x,-y,z'
'x+1/2,y+1/2,z'
'-x+1/2,-y+1/2,-z'
'-x+1/2,y+1/2,-z'
'x+1/2,-y+1/2,z'
loop_
_atom_site_label
_atom_site_type_symbol
_atom_site_fract_x
_atom_site_fract_y
_atom_site_fract_z
_atom_site_occupancy
K1 K 0.000 0.202 0.000 1
Tl1 Tl 0.241 0.500 0.412 1
Cl1 Cl 0.000 0.500 0.500 1
Cl2 Cl 0.085 0.000 0.266 1
Cl3 Cl 0.249 0.333 0.210 1
```



Entry 8:
# Y2ZrUN4

An optimized crystal structure of Y2ZrUN4 (PBE, Alexandria).

Computed properties:
- E_tot: -79.030 eV/cell
- E_form (uncorrected): -13.0 eV/f.u.
- Mass density: 8.38 g cm⁻³

Geometry as CIF:
```
data_Y2ZrUN4
_symmetry_space_group_name_H-M 'P 1 2/m 1'
_symmetry_Int_Tables_number 10
_cell_length_a 5.867
_cell_length_b 3.403
_cell_length_c 5.909
_cell_angle_alpha 90.00
_cell_angle_beta 108.97
_cell_angle_gamma 90.00
loop_
_symmetry_equiv_pos_as_xyz
'x,y,z'
'-x,-y,-z'
'-x,y,-z'
'x,-y,z'
loop_
_atom_site_label
_atom_site_type_symbol
_atom_site_fract_x
_atom_site_fract_y
_atom_site_fract_z
_atom_site_occupancy
Y1 Y 0.000 0.000 0.000 1
Y2 Y 0.500 0.500 0.000 1
Zr1 Zr 0.000 0.500 0.500 1
U1 U 0.500 0.000 0.500 1
N1 N 0.249 0.000 0.727 1
N2 N 0.256 0.500 0.268 1
```



Entry 9:
# CaNdH6Rh2

An optimized crystal structure of CaNdH6Rh2 (PBE, Alexandria).

Computed properties:
- E_tot: -135.742 eV/cell
- Mass density: 6.06 g cm⁻³

Geometry as CIF:
```
data_CaNdH6Rh2
_symmetry_space_group_name_H-M 'R -3 m'
_symmetry_Int_Tables_number 166
_symmetry_space_group_name_Hall '-R 3 2"'
_cell_length_a 4.9024
_cell_length_b 4.9024
_cell_length_c 15.6559
_cell_angle_alpha 90.00
_cell_angle_beta 90.00
_cell_angle_gamma 120.00
loop_
_atom_site_label
_atom_site_type_symbol
_atom_site_fract_x
_atom_site_fract_y
_atom_site_fract_z
_atom_site_occupancy
Ca1 Ca 0.0000 0.0000 0.0000 1
Nd1 Nd 0.0000 0.0000 0.5000 1
H1 H 0.0298 0.5149 0.4421 1
Rh1 Rh 0.0000 0.0000 0.2904 1
```



Entry 10:
# YScMn4

An optimized crystal structure of YScMn4 (PBE, Alexandria).

Computed properties:
- E_tot: -196.946 eV/cell
- Mass density: 6.59 g cm⁻³

Geometry as CIF:
```
data_YScMn4
_symmetry_space_group_name_H-M 'F -4 3 m'
_symmetry_Int_Tables_number 216
_symmetry_space_group_name_Hall 'F -4 2 3'
_cell_length_a 7.090
_cell_length_b 7.090
_cell_length_c 7.090
_cell_angle_alpha 90.00
_cell_angle_beta 90.00
_cell_angle_gamma 90.00
loop_
_atom_site_label
_atom_site_type_symbol
_atom_site_fract_x
_atom_site_fract_y
_atom_site_fract_z
_atom_site_occupancy
Y1 Y 0.000 0.000 0.000 1
Sc1 Sc 0.250 0.250 0.250 1
Mn1 Mn 0.124 0.124 0.624 1
```



Entry 11:
# NdGdMgMn

An optimized crystal structure of NdGdMgMn (PBE, Alexandria).

Computed properties:
- E_tot: -116.344 eV/cell
- Mass density: 6.01 g cm⁻³

Geometry as CIF:
```
data_NdGdMgMn
_symmetry_space_group_name_H-M 'F -4 3 m'
_symmetry_Int_Tables_number 216
_symmetry_space_group_name_Hall 'F -4 2 3'
_cell_length_a 7.495
_cell_length_b 7.495
_cell_length_c 7.495
_cell_angle_alpha 90.00
_cell_angle_beta 90.00
_cell_angle_gamma 90.00
loop_
_atom_site_label
_atom_site_type_symbol
_atom_site_fract_x
_atom_site_fract_y
_atom_site_fract_z
_atom_site_occupancy
Nd1 Nd 0.000 0.000 0.000 1
Gd1 Gd 0.000 0.000 0.500 1
Mg1 Mg 0.250 0.250 0.750 1
Mn1 Mn 0.250 0.250 0.250 1
```



Entry 12:
# AlGa2Hg2

An optimized crystal structure of AlGa2Hg2 (PBE, Alexandria).

Computed properties:
- Energy relative to the lowest polymorph listed for this composition: 72 meV/atom
- E_tot: -18.770 eV/cell
- Mass density: 8.33 g cm⁻³

Geometry as CIF:
```
data_AlGa2Hg2
_symmetry_space_group_name_H-M 'P 4/m b m'
_symmetry_Int_Tables_number 127
_symmetry_space_group_name_Hall '-P 4 2ab'
_cell_length_a 7.606
_cell_length_b 7.606
_cell_length_c 3.912
_cell_angle_alpha 90.00
_cell_angle_beta 90.00
_cell_angle_gamma 90.00
loop_
_atom_site_label
_atom_site_type_symbol
_atom_site_fract_x
_atom_site_fract_y
_atom_site_fract_z
_atom_site_occupancy
Al1 Al 0.000 0.000 0.000 1
Ga1 Ga 0.147 0.353 0.500 1
Hg1 Hg 0.156 0.656 0.000 1
```



Entry 13:
# CaTa2Cd

An optimized crystal structure of CaTa2Cd (PBE, Alexandria).

Computed properties:
- E_tot: -24.016 eV/cell
- Mass density: 10.02 g cm⁻³

Geometry as CIF:
```
data_CaTa2Cd
_symmetry_space_group_name_H-M 'P m m m'
_symmetry_Int_Tables_number 47
_cell_length_a 2.800
_cell_length_b 5.183
_cell_length_c 5.872
_cell_angle_alpha 90.00
_cell_angle_beta 90.00
_cell_angle_gamma 90.00
loop_
_symmetry_equiv_pos_as_xyz
'x,y,z'
'-x,-y,-z'
'-x,-y,z'
'x,y,-z'
'x,-y,-z'
'-x,y,z'
'-x,y,-z'
'x,-y,z'
loop_
_atom_site_label
_atom_site_type_symbol
_atom_site_fract_x
_atom_site_fract_y
_atom_site_fract_z
_atom_site_occupancy
Ca1 Ca 0.000 0.000 0.000 1
Ta1 Ta 0.500 0.500 0.248 1
Cd1 Cd 0.000 0.000 0.500 1
```



Entry 14:
# PmDy4Th2

An optimized crystal structure of PmDy4Th2 (PBE, Alexandria).

Computed properties:
- Energy relative to the lowest polymorph listed for this composition: 701 meV/atom
- E_tot: -64.833 eV/cell
- Mass density: 8.03 g cm⁻³

Geometry as CIF:
```
data_PmDy4Th2
_symmetry_space_group_name_H-M 'I 4/m m m'
_symmetry_Int_Tables_number 139
_symmetry_space_group_name_Hall '-I 4 2'
_cell_length_a 5.599
_cell_length_b 5.599
_cell_length_c 16.608
_cell_angle_alpha 90.00
_cell_angle_beta 90.00
_cell_angle_gamma 90.00
loop_
_atom_site_label
_atom_site_type_symbol
_atom_site_fract_x
_atom_site_fract_y
_atom_site_fract_z
_atom_site_occupancy
Pm1 Pm 0.000 0.000 0.000 1
Dy1 Dy 0.000 0.000 0.181 1
Dy2 Dy 0.000 0.500 0.000 1
Th1 Th 0.000 0.000 0.387 1
```



Entry 15:
# LiLa4Se5

An optimized crystal structure of LiLa4Se5 (PBE, Alexandria).

Computed properties:
- E_tot: -115.861 eV/cell
- E_form (uncorrected): -18.9 eV/f.u.
- Mass density: 5.75 g cm⁻³

Geometry as CIF:
```
data_LiLa4Se5
_symmetry_space_group_name_H-M 'I 4'
_symmetry_Int_Tables_number 79
_cell_length_a 9.551
_cell_length_b 9.551
_cell_length_c 6.061
_cell_angle_alpha 90.00
_cell_angle_beta 90.00
_cell_angle_gamma 90.00
loop_
_symmetry_equiv_pos_as_xyz
'x,y,z'
'-y,x,z'
'-x,-y,z'
'y,-x,z'
'x+1/2,y+1/2,z+1/2'
'-y+1/2,x+1/2,z+1/2'
'-x+1/2,-y+1/2,z+1/2'
'y+1/2,-x+1/2,z+1/2'
loop_
_atom_site_label
_atom_site_type_symbol
_atom_site_fract_x
_atom_site_fract_y
_atom_site_fract_z
_atom_site_occupancy
Li1 Li 0.000 0.000 0.000 1
La1 La 0.099 0.700 0.468 1
Se1 Se 0.000 0.000 0.462 1
Se2 Se 0.096 0.711 0.968 1
```



Entry 16:
# NpU2As2Ru2

An optimized crystal structure of NpU2As2Ru2 (PBE, Alexandria).

Computed properties:
- E_tot: -199.190 eV/cell
- Mass density: 13.02 g cm⁻³

Geometry as CIF:
```
data_NpU2As2Ru2
_symmetry_space_group_name_H-M 'R -3 m'
_symmetry_Int_Tables_number 166
_symmetry_space_group_name_Hall '-R 3 2"'
_cell_length_a 4.4382
_cell_length_b 4.4382
_cell_length_c 23.8791
_cell_angle_alpha 90.00
_cell_angle_beta 90.00
_cell_angle_gamma 120.00
loop_
_atom_site_label
_atom_site_type_symbol
_atom_site_fract_x
_atom_site_fract_y
_atom_site_fract_z
_atom_site_occupancy
Np1 Np 0.0000 0.0000 0.0000 1
U1 U 0.0000 0.0000 0.1439 1
As1 As 0.0000 0.0000 0.2697 1
Ru1 Ru 0.0000 0.0000 0.4402 1
```



Entry 17:
# NiAs2W

An optimized crystal structure of NiAs2W (PBE, Alexandria).

Computed properties:
- Energy relative to the lowest polymorph listed for this composition: 351 meV/atom
- E_tot: -52.955 eV/cell
- Mass density: 10.52 g cm⁻³

Geometry as CIF:
```
data_NiAs2W
_symmetry_space_group_name_H-M 'C m m m'
_symmetry_Int_Tables_number 65
_symmetry_space_group_name_Hall '-C 2 2'
_cell_length_a 3.402
_cell_length_b 4.753
_cell_length_c 7.662
_cell_angle_alpha 90.00
_cell_angle_beta 90.00
_cell_angle_gamma 90.00
loop_
_atom_site_label
_atom_site_type_symbol
_atom_site_fract_x
_atom_site_fract_y
_atom_site_fract_z
_atom_site_occupancy
Ni1 Ni 0.000 0.000 0.000 1
As1 As 0.000 0.500 0.236 1
W1 W 0.000 0.000 0.500 1
```



Entry 18:
# NbNiMo

An optimized crystal structure of NbNiMo (PBE, Alexandria).

Computed properties:
- Energy relative to the lowest polymorph listed for this composition: 128 meV/atom
- E_tot: -106.174 eV/cell
- Mass density: 9.03 g cm⁻³

Geometry as CIF:
```
data_NbNiMo
_symmetry_space_group_name_H-M 'C 1 m 1'
_symmetry_Int_Tables_number 8
_cell_length_a 8.329
_cell_length_b 4.192
_cell_length_c 5.371
_cell_angle_alpha 90.00
_cell_angle_beta 103.91
_cell_angle_gamma 90.00
loop_
_symmetry_equiv_pos_as_xyz
'x,y,z'
'x,-y,z'
'x+1/2,y+1/2,z'
'x+1/2,-y+1/2,z'
loop_
_atom_site_label
_atom_site_type_symbol
_atom_site_fract_x
_atom_site_fract_y
_atom_site_fract_z
_atom_site_occupancy
Nb1 Nb 0.000 0.000 0.000 1
Nb2 Nb 0.153 0.500 0.788 1
Ni1 Ni 0.130 0.500 0.282 1
Ni2 Ni 0.318 0.000 0.122 1
Mo1 Mo 0.286 0.000 0.609 1
Mo2 Mo 0.442 0.500 0.475 1
```



Entry 19:
# NaCeBi

An optimized crystal structure of NaCeBi (PBE, Alexandria).

Computed properties:
- E_tot: -23.542 eV/cell
- Mass density: 6.66 g cm⁻³

Geometry as CIF:
```
data_NaCeBi
_symmetry_space_group_name_H-M 'I 4 m m'
_symmetry_Int_Tables_number 107
_symmetry_space_group_name_Hall 'I 4 -2'
_cell_length_a 4.322
_cell_length_b 4.322
_cell_length_c 9.925
_cell_angle_alpha 90.00
_cell_angle_beta 90.00
_cell_angle_gamma 90.00
loop_
_atom_site_label
_atom_site_type_symbol
_atom_site_fract_x
_atom_site_fract_y
_atom_site_fract_z
_atom_site_occupancy
Na1 Na 0.000 0.000 0.000 1
Ce1 Ce 0.000 0.000 0.679 1
Bi1 Bi 0.000 0.000 0.330 1
```



Entry 20:
# Th2Fe12P7

An optimized crystal structure of Th2Fe12P7 (PBE, Alexandria).

Computed properties:
- E_tot: -168.992 eV/cell
- Mass density: 8.57 g cm⁻³

Geometry as CIF:
```
data_Th2Fe12P7
_symmetry_space_group_name_H-M 'P -6'
_symmetry_Int_Tables_number 174
_cell_length_a 9.0406
_cell_length_b 9.0406
_cell_length_c 3.6983
_cell_angle_alpha 90.00
_cell_angle_beta 90.00
_cell_angle_gamma 120.00
loop_
_symmetry_equiv_pos_as_xyz
'x,y,z'
'-x+y,-x,-z'
'-y,x-y,z'
'x,y,-z'
'-x+y,-x,z'
'-y,x-y,-z'
loop_
_atom_site_label
_atom_site_type_symbol
_atom_site_fract_x
_atom_site_fract_y
_atom_site_fract_z
_atom_site_occupancy
Th1 Th 0.0000 0.0000 0.0000 1
Th2 Th 0.3333 0.6667 0.5000 1
Fe1 Fe 0.0483 0.7673 0.5000 1
Fe2 Fe 0.0939 0.3943 0.0000 1
Fe3 Fe 0.3952 0.2117 0.0000 1
Fe4 Fe 0.5510 0.1183 0.5000 1
P1 P 0.0707 0.6355 0.0000 1
P2 P 0.2736 0.0428 0.5000 1
P3 P 0.6667 0.3333 0.0000 1
```